No. 1
The following is a PBE calculation of PaIrPd2 after structural relaxation, from Alexandria via LeMat-Bulk.

a = 6.601 Å, b = 6.601 Å, c = 6.601 Å
α = 90.00°, β = 90.00°, γ = 90.00°
Space group Fm-3m (No. 225)
Inequivalent atoms, fractional coordinates:
Pa  0.000  0.000  0.000 (multiplicity 4)
Ir  0.000  0.000  0.500 (multiplicity 4)
Pd  0.250  0.250  0.250 (multiplicity 8)

E_form	-180	kJ/mol of formula units
mass density	14.7	g/cm³

---

No. 2
The following is a PBE calculation of ReSbIr after structural relaxation, from Alexandria via LeMat-Bulk.

a = 6.170 Å, b = 6.170 Å, c = 6.170 Å
α = 90.00°, β = 90.00°, γ = 90.00°
Space group F-43m (No. 216)
Inequivalent atoms, fractional coordinates:
Re  0.000  0.000  0.000 (multiplicity 4)
Sb  0.250  0.250  0.250 (multiplicity 4)
Ir  0.250  0.250  0.750 (multiplicity 4)

mass density	14.1	g/cm³

---

No. 3
The following is a PBE calculation of Ho12Zr3Cd5 after structural relaxation, from Alexandria via LeMat-Bulk.

a = 17.827 Å, b = 17.827 Å, c = 17.827 Å
α = 90.00°, β = 90.00°, γ = 90.00°
Space group Ia-3d (No. 230)
Inequivalent atoms, fractional coordinates:
Ho  0.013  0.077  0.649 (multiplicity 96)
Zr  0.000  0.250  0.125 (multiplicity 24)
Cd  0.000  0.000  0.000 (multiplicity 16)
Cd  0.000  0.250  0.375 (multiplicity 24)

E_form	1083	kJ/mol of formula units
mass density	6.6	g/cm³

---

No. 4
The following is a PBE calculation of YFeAg2 after structural relaxation, from Alexandria via LeMat-Bulk.

a = 3.251 Å, b = 4.560 Å, c = 5.498 Å
α = 90.00°, β = 106.24°, γ = 90.00°
Space group P2/m (No. 10)
Inequivalent atoms, fractional coordinates:
Y  0.000  0.000  0.000 (multiplicity 1)
Fe  0.500  0.000  0.500 (multiplicity 1)
Ag  0.346  0.500  0.724 (multiplicity 2)

E_form	73	kJ/mol of formula units
mass density	7.6	g/cm³

---

No. 5
The following is a PBE calculation of Tl3SnSe4 after structural relaxation, from Alexandria via LeMat-Bulk.

a = 11.755 Å, b = 6.584 Å, c = 6.672 Å
α = 90.00°, β = 90.00°, γ = 90.00°
Space group Pmn2_1 (No. 31)
Inequivalent atoms, fractional coordinates:
Tl  0.000  0.234  0.000 (multiplicity 2)
Tl  0.250  0.261  0.463 (multiplicity 4)
Sn  0.000  0.669  0.548 (multiplicity 2)
Se  0.000  0.278  0.498 (multiplicity 2)
Se  0.000  0.731  0.933 (multiplicity 2)
Se  0.200  0.779  0.432 (multiplicity 4)

mass density	6.7	g/cm³

---

No. 6
The following is a PBE calculation of Ac2Rh3Au after structural relaxation, from Alexandria via LeMat-Bulk.

a = 5.6938 Å, b = 5.6938 Å, c = 13.4708 Å
α = 90.00°, β = 90.00°, γ = 120.00°
Space group R-3m (No. 166, hexagonal axes)
Inequivalent atoms, fractional coordinates:
Ac  0.0000  0.0000  0.1255 (multiplicity 6)
Rh  0.0000  0.5000  0.0000 (multiplicity 9)
Au  0.0000  0.0000  0.5000 (multiplicity 3)

E_form	-339	kJ/mol of formula units
mass density	12.6	g/cm³

---

No. 7
The following is a PBE calculation of VCI3 after structural relaxation, from Alexandria via LeMat-Bulk.

a = 5.482 Å, b = 5.482 Å, c = 5.482 Å
α = 90.00°, β = 90.00°, γ = 90.00°
Space group Pm-3m (No. 221)
Inequivalent atoms, fractional coordinates:
V  0.000  0.000  0.000 (multiplicity 1)
C  0.500  0.500  0.500 (multiplicity 1)
I  0.000  0.000  0.500 (multiplicity 3)

mass density	4.5	g/cm³

---

No. 8
The following is a PBE calculation of SrAlTe2 after structural relaxation, from Alexandria via LeMat-Bulk.

a = 4.459 Å, b = 4.459 Å, c = 6.814 Å
α = 90.00°, β = 90.00°, γ = 90.00°
Space group P4mm (No. 99)
Inequivalent atoms, fractional coordinates:
Sr  0.000  0.000  0.000 (multiplicity 1)
Al  0.500  0.500  0.463 (multiplicity 1)
Te  0.000  0.000  0.511 (multiplicity 1)
Te  0.500  0.500  0.059 (multiplicity 1)

mass density	4.5	g/cm³

---

no.,DFT total energy (eV per formula unit)
1,-30.61
2,-24.12
3,-73.93
4,-19.88
5,-27.75
6,-37.06
7,-16.32
8,-14.98